Run P
SrPPd3: optimized geometry, PBE.

a = 5.585 Å, b = 7.550 Å, c = 9.324 Å
α = 90.00°, β = 90.00°, γ = 90.00°
Atoms (fractional coordinates):
Sr  0.000  0.000  0.500
Sr  0.500  0.500  0.000
Sr  0.500  0.000  0.000
Sr  0.000  0.500  0.500
Pd  0.000  0.939  0.846
Pd  0.500  0.439  0.346
Pd  0.500  0.061  0.346
Pd  0.000  0.439  0.154
Pd  0.000  0.061  0.154
Pd  0.500  0.561  0.654
Pd  0.500  0.939  0.654
Pd  0.000  0.561  0.846
Pd  0.250  0.250  0.750
Pd  0.250  0.750  0.250
Pd  0.750  0.750  0.250
Pd  0.750  0.250  0.750
P  0.500  0.250  0.546
P  0.000  0.750  0.046
P  0.500  0.750  0.454
P  0.000  0.250  0.954

***

Run Q
SrPPd3: optimized geometry, PBE.

a = 8.223 Å, b = 8.223 Å, c = 5.503 Å
α = 90.00°, β = 90.00°, γ = 142.83°
Atoms (fractional coordinates):
Sr  0.176  0.824  0.250
Sr  0.824  0.176  0.750
Pd  0.615  0.888  0.250
Pd  0.112  0.385  0.250
Pd  0.888  0.615  0.750
Pd  0.385  0.112  0.750
Pd  0.000  0.000  0.000
Pd  0.000  0.000  0.500
P  0.485  0.515  0.250
P  0.515  0.485  0.750

***

Winner for stability: run P

***

Run P
SrPPd3: optimized geometry, PBE.

a = 10.990 Å, b = 7.570 Å, c = 7.570 Å
α = 103.14°, β = 127.85°, γ = 52.15°
Atoms (fractional coordinates):
Sr  0.750  0.037  0.537
Sr  0.250  0.963  0.463
Sr  0.750  0.637  0.137
Sr  0.250  0.363  0.863
Pd  0.339  0.495  0.336
Pd  0.161  0.836  0.995
Pd  0.661  0.505  0.664
Pd  0.839  0.164  0.005
Pd  0.070  0.279  0.042
Pd  0.430  0.542  0.779
Pd  0.930  0.721  0.958
Pd  0.570  0.458  0.221
Pd  0.529  0.102  0.699
Pd  0.971  0.199  0.602
Pd  0.471  0.898  0.301
Pd  0.029  0.801  0.398
P  0.198  0.398  0.384
P  0.302  0.884  0.898
P  0.802  0.602  0.616
P  0.698  0.116  0.102

***

Run Q
SrPPd3: optimized geometry, PBE.

a = 6.306 Å, b = 6.306 Å, c = 6.306 Å
α = 51.23°, β = 51.23°, γ = 51.23°
Atoms (fractional coordinates):
Sr  0.023  0.023  0.023
Pd  0.017  0.532  0.017
Pd  0.532  0.017  0.017
Pd  0.017  0.017  0.532
P  0.285  0.285  0.285

***

Winner for stability: run P